LiBC PBE relaxed; space group = No. 47; volume = 7.82 Å³/atom; calculated density = 2.106 g/cm³; energy of formation from the pure elements = -0.259 eV per atom
1.0
2.740 0.000 0.000
0.000 3.553 0.000
0.000 0.000 4.821
Li B C
2 2 2
Direct
0.000 0.000 0.000
0.500 0.000 0.500
0.000 0.500 0.321
0.000 0.500 0.679
0.500 0.500 0.156
0.500 0.500 0.844